Entry 1:
Below is an optimized crystal structure of Li2CuP, with properties calculated at the PBE level.

a b c (Å): 8.4817 8.4817 8.4817
angles (deg): 18.72 18.72 18.72
Positions (direct):
Li 0.2437 0.2437 0.2437
Li 0.7563 0.7563 0.7563
Cu 0.0000 0.0000 0.0000
P 0.5000 0.5000 0.5000

Results
As for the space-group type: R-3m (166). The total energy is -13.545 eV per formula unit. Its spin magnetization is 0.2 μB/f.u.

---

Entry 2:
Below is an optimized crystal structure of InNi2P, with properties calculated at the PBE level.

a b c (Å): 3.1731 3.1731 5.7481
angles (deg): 90.00 90.00 90.00
Positions (direct):
In 0.0000 0.0000 0.0000
Ni 0.0000 0.0000 0.5163
Ni 0.5000 0.5000 0.2541
P 0.5000 0.5000 0.6310

Results
As for the space-group type: P4mm (99). The total energy is -20.322 eV per formula unit. Its spin magnetization is 0.0 μB/f.u.

---

Entry 3:
Below is an optimized crystal structure of KReIr4, with properties calculated at the PBE level.

a b c (Å): 5.2428 5.2428 5.2428
angles (deg): 60.00 60.00 60.00
Positions (direct):
K 0.0000 0.0000 0.0000
Re 0.7500 0.7500 0.7500
Ir 0.3748 0.3748 0.3748
Ir 0.3748 0.3748 0.8755
Ir 0.3748 0.8755 0.3748
Ir 0.8755 0.3748 0.3748

Results
As for the space-group type: F-43m (216). The total energy is -43.821 eV per formula unit. Its spin magnetization is 0.0 μB/f.u.

---

Entry 4:
Below is an optimized crystal structure of Ag2AsRu, with properties calculated at the PBE level.

a b c (Å): 9.0557 9.0557 9.0557
angles (deg): 19.14 19.14 19.14
Positions (direct):
Ag 0.0000 0.0000 0.0000
Ag 0.2462 0.2462 0.2462
As 0.7624 0.7624 0.7624
Ru 0.4925 0.4925 0.4925

Results
As for the space-group type: R3m (160). The total energy is -19.093 eV per formula unit. Its spin magnetization is 0.1 μB/f.u.

---

Entry 5:
Below is an optimized crystal structure of Mg4HgPb2, with properties calculated at the PBE level.

a b c (Å): 6.9375 3.5455 7.8411
angles (deg): 90.00 101.23 90.00
Positions (direct):
Mg 0.0000 0.0000 0.0000
Mg 0.1744 0.5000 0.7290
Mg 0.4715 0.5000 0.4644
Mg 0.6565 0.0000 0.1985
Hg 0.3297 0.5000 0.0948
Pb 0.0659 0.0000 0.4030
Pb 0.5902 0.0000 0.7919

Results
As for the space-group type: Pm (6). The total energy is -14.038 eV per formula unit. Its spin magnetization is 0.0 μB/f.u.

---

Entry 6:
Below is an optimized crystal structure of PtBr3, with properties calculated at the PBE level.

a b c (Å): 8.8346 8.8346 3.5723
angles (deg): 90.00 90.00 106.14
Positions (direct):
Pt 0.1460 0.8540 0.7500
Pt 0.8540 0.1460 0.2500
Br 0.0137 0.3020 0.7500
Br 0.3020 0.0137 0.2500
Br 0.4179 0.5821 0.2500
Br 0.5821 0.4179 0.7500
Br 0.6980 0.9863 0.7500
Br 0.9863 0.6980 0.2500

Results
As for the space-group type: Cmcm (63). The total energy is -10.993 eV per formula unit. Its spin magnetization is 0.3 μB/f.u. For the uncorrected formation energy, the calculation gives 16 meV/atom.

---

Question: spin magnetization of number 4 (Ag2AsRu)?
Answer: 0.1 μB/f.u.